1.
The following is a DFT calculation (SCAN) of Sr2LiZr at its PBEsol-relaxed geometry.

CIF file:
```
data_Sr2LiZr
_chemical_formula_sum 'Sr4 Li2 Zr2'
_symmetry_space_group_name_H-M 'C 1 2/m 1'
_symmetry_Int_Tables_number 12
_cell_length_a 11.398
_cell_length_b 3.460
_cell_length_c 6.778
_cell_angle_alpha 90.00
_cell_angle_beta 98.17
_cell_angle_gamma 90.00
loop_
_symmetry_equiv_pos_as_xyz
'x,y,z'
'-x,-y,-z'
'-x,y,-z'
'x,-y,z'
'x+1/2,y+1/2,z'
'-x+1/2,-y+1/2,-z'
'-x+1/2,y+1/2,-z'
'x+1/2,-y+1/2,z'
loop_
_atom_site_label
_atom_site_type_symbol
_atom_site_fract_x
_atom_site_fract_y
_atom_site_fract_z
Sr1 Sr 0.250 0.000 0.242
Li1 Li 0.000 0.000 0.500
Zr1 Zr 0.000 0.500 0.000
```



2.
The following is a DFT calculation (SCAN) of SrLi2Zr at its PBEsol-relaxed geometry.

CIF file:
```
data_SrLi2Zr
_chemical_formula_sum 'Sr4 Li8 Zr4'
_symmetry_space_group_name_H-M 'F m -3 m'
_symmetry_Int_Tables_number 225
_symmetry_space_group_name_Hall '-F 4 2 3'
_cell_length_a 7.414
_cell_length_b 7.414
_cell_length_c 7.414
_cell_angle_alpha 90.00
_cell_angle_beta 90.00
_cell_angle_gamma 90.00
loop_
_atom_site_label
_atom_site_type_symbol
_atom_site_fract_x
_atom_site_fract_y
_atom_site_fract_z
Sr1 Sr 0.000 0.000 0.000
Li1 Li 0.250 0.250 0.250
Zr1 Zr 0.000 0.000 0.500
```



3.
# SrLiZr | the Alexandria database | SCAN | single point on PBEsol structure
data_SrLiZr
_chemical_formula_sum 'Sr4 Li4 Zr4'
_symmetry_space_group_name_H-M 'F -4 3 m'
_symmetry_Int_Tables_number 216
_symmetry_space_group_name_Hall 'F -4 2 3'
_cell_length_a 7.208
_cell_length_b 7.208
_cell_length_c 7.208
_cell_angle_alpha 90.00
_cell_angle_beta 90.00
_cell_angle_gamma 90.00
loop_
_atom_site_label
_atom_site_type_symbol
_atom_site_fract_x
_atom_site_fract_y
_atom_site_fract_z
Sr1 Sr 0.000 0.000 0.000
Li1 Li 0.250 0.250 0.750
Zr1 Zr 0.000 0.000 0.500
# **Energy above the most stable polymorph in this dataset**: 290.6 meV/atom



4.
# LiTa3 | the Alexandria database | SCAN | single point on PBEsol structure
data_LiTa3
_chemical_formula_sum 'Li2 Ta6'
_symmetry_space_group_name_H-M 'I m m 2'
_symmetry_Int_Tables_number 44
_cell_length_a 2.676
_cell_length_b 9.508
_cell_length_c 5.381
_cell_angle_alpha 90.00
_cell_angle_beta 90.00
_cell_angle_gamma 90.00
loop_
_symmetry_equiv_pos_as_xyz
'x,y,z'
'-x,-y,z'
'-x,y,z'
'x,-y,z'
'x+1/2,y+1/2,z+1/2'
'-x+1/2,-y+1/2,z+1/2'
'-x+1/2,y+1/2,z+1/2'
'x+1/2,-y+1/2,z+1/2'
loop_
_atom_site_label
_atom_site_type_symbol
_atom_site_fract_x
_atom_site_fract_y
_atom_site_fract_z
Li1 Li 0.000 0.000 0.000
Ta1 Ta 0.000 0.249 0.291
Ta2 Ta 0.000 0.500 0.995
# **Energy above the most stable polymorph in this dataset**: 43.0 meV/atom



5.
# LiTa3 | the Alexandria database | SCAN | single point on PBEsol structure
data_LiTa3
_chemical_formula_sum 'Li4 Ta12'
_symmetry_space_group_name_H-M 'F m -3 m'
_symmetry_Int_Tables_number 225
_symmetry_space_group_name_Hall '-F 4 2 3'
_cell_length_a 6.433
_cell_length_b 6.433
_cell_length_c 6.433
_cell_angle_alpha 90.00
_cell_angle_beta 90.00
_cell_angle_gamma 90.00
loop_
_atom_site_label
_atom_site_type_symbol
_atom_site_fract_x
_atom_site_fract_y
_atom_site_fract_z
Li1 Li 0.000 0.000 0.000
Ta1 Ta 0.000 0.000 0.500
Ta2 Ta 0.250 0.250 0.250
# **Energy above the most stable polymorph in this dataset**: 0.0 meV/atom



6.
# LiTa3 | the Alexandria database | SCAN | single point on PBEsol structure
data_LiTa3
_chemical_formula_sum 'Li1 Ta3'
_symmetry_space_group_name_H-M 'P -6 m 2'
_symmetry_Int_Tables_number 187
_symmetry_space_group_name_Hall 'P -6 2'
_cell_length_a 2.8189
_cell_length_b 2.8189
_cell_length_c 10.3556
_cell_angle_alpha 90.00
_cell_angle_beta 90.00
_cell_angle_gamma 120.00
loop_
_atom_site_label
_atom_site_type_symbol
_atom_site_fract_x
_atom_site_fract_y
_atom_site_fract_z
Li1 Li 0.0000 0.0000 0.0000
Ta1 Ta 0.0000 0.0000 0.5000
Ta2 Ta 0.3333 0.6667 0.2507
# **Energy above the most stable polymorph in this dataset**: 13.8 meV/atom



7.
# LiTa | the Alexandria database | SCAN | single point on PBEsol structure
data_LiTa
_chemical_formula_sum 'Li2 Ta2'
_symmetry_space_group_name_H-M 'P 4/n m m'
_symmetry_Int_Tables_number 129
_cell_length_a 2.733
_cell_length_b 2.733
_cell_length_c 9.654
_cell_angle_alpha 90.00
_cell_angle_beta 90.00
_cell_angle_gamma 90.00
loop_
_symmetry_equiv_pos_as_xyz
'x,y,z'
'-x,-y,-z'
'-y+1/2,x,z'
'y+1/2,-x,-z'
'-x+1/2,-y+1/2,z'
'x+1/2,y+1/2,-z'
'y,-x+1/2,z'
'-y,x+1/2,-z'
'x+1/2,-y,-z'
'-x+1/2,y,z'
'-y,-x,-z'
'y,x,z'
'-x,y+1/2,-z'
'x,-y+1/2,z'
'y+1/2,x+1/2,-z'
'-y+1/2,-x+1/2,z'
loop_
_atom_site_label
_atom_site_type_symbol
_atom_site_fract_x
_atom_site_fract_y
_atom_site_fract_z
Li1 Li 0.250 0.250 0.129
Ta1 Ta 0.250 0.250 0.616
# **Energy above the most stable polymorph in this dataset**: 0.0 meV/atom



8.
# LiTa | the Alexandria database | SCAN | single point on PBEsol structure
data_LiTa
_chemical_formula_sum 'Li2 Ta2'
_symmetry_space_group_name_H-M 'P 1 21/m 1'
_symmetry_Int_Tables_number 11
_cell_length_a 2.565
_cell_length_b 4.546
_cell_length_c 5.946
_cell_angle_alpha 90.00
_cell_angle_beta 102.50
_cell_angle_gamma 90.00
loop_
_symmetry_equiv_pos_as_xyz
'x,y,z'
'-x,-y,-z'
'-x,y+1/2,-z'
'x,-y+1/2,z'
loop_
_atom_site_label
_atom_site_type_symbol
_atom_site_fract_x
_atom_site_fract_y
_atom_site_fract_z
Li1 Li 0.057 0.250 0.117
Ta1 Ta 0.309 0.250 0.617
# **Energy above the most stable polymorph in this dataset**: 141.6 meV/atom



9.
# LiTa3 | the Alexandria database | SCAN | single point on PBEsol structure
data_LiTa3
_chemical_formula_sum 'Li2 Ta6'
_symmetry_space_group_name_H-M 'C m m m'
_symmetry_Int_Tables_number 65
_symmetry_space_group_name_Hall '-C 2 2'
_cell_length_a 5.689
_cell_length_b 8.949
_cell_length_c 2.695
_cell_angle_alpha 90.00
_cell_angle_beta 90.00
_cell_angle_gamma 90.00
loop_
_atom_site_label
_atom_site_type_symbol
_atom_site_fract_x
_atom_site_fract_y
_atom_site_fract_z
Li1 Li 0.000 0.000 0.000
Ta1 Ta 0.000 0.500 0.000
Ta2 Ta 0.250 0.250 0.500
# **Energy above the most stable polymorph in this dataset**: 60.4 meV/atom



10.
# LiTaTc2 | the Alexandria database | SCAN | single point on PBEsol structure
data_LiTaTc2
_chemical_formula_sum 'Li1 Ta1 Tc2'
_symmetry_space_group_name_H-M 'P m m m'
_symmetry_Int_Tables_number 47
_cell_length_a 3.363
_cell_length_b 4.085
_cell_length_c 4.130
_cell_angle_alpha 90.00
_cell_angle_beta 90.00
_cell_angle_gamma 90.00
loop_
_symmetry_equiv_pos_as_xyz
'x,y,z'
'-x,-y,-z'
'-x,-y,z'
'x,y,-z'
'x,-y,-z'
'-x,y,z'
'-x,y,-z'
'x,-y,z'
loop_
_atom_site_label
_atom_site_type_symbol
_atom_site_fract_x
_atom_site_fract_y
_atom_site_fract_z
Li1 Li 0.000 0.000 0.000
Ta1 Ta 0.500 0.500 0.000
Tc1 Tc 0.000 0.500 0.500
Tc2 Tc 0.500 0.000 0.500
# **Energy above the most stable polymorph in this dataset**: 41.5 meV/atom



11.
The following is a DFT calculation (SCAN) of Li3TaTc at its PBEsol-relaxed geometry.

CIF file:
```
data_Li3TaTc
_chemical_formula_sum 'Li3 Ta1 Tc1'
_symmetry_space_group_name_H-M 'P m -3 m'
_symmetry_Int_Tables_number 221
_symmetry_space_group_name_Hall '-P 4 2 3'
_cell_length_a 4.226
_cell_length_b 4.226
_cell_length_c 4.226
_cell_angle_alpha 90.00
_cell_angle_beta 90.00
_cell_angle_gamma 90.00
loop_
_atom_site_label
_atom_site_type_symbol
_atom_site_fract_x
_atom_site_fract_y
_atom_site_fract_z
Li1 Li 0.000 0.000 0.500
Ta1 Ta 0.500 0.500 0.500
Tc1 Tc 0.000 0.000 0.000
```



12.
The following is a DFT calculation (SCAN) of LiTa2Tc at its PBEsol-relaxed geometry.

CIF file:
```
data_LiTa2Tc
_chemical_formula_sum 'Li1 Ta2 Tc1'
_symmetry_space_group_name_H-M 'P 1 2/m 1'
_symmetry_Int_Tables_number 10
_cell_length_a 2.704
_cell_length_b 4.358
_cell_length_c 5.417
_cell_angle_alpha 90.00
_cell_angle_beta 99.10
_cell_angle_gamma 90.00
loop_
_symmetry_equiv_pos_as_xyz
'x,y,z'
'-x,-y,-z'
'-x,y,-z'
'x,-y,z'
loop_
_atom_site_label
_atom_site_type_symbol
_atom_site_fract_x
_atom_site_fract_y
_atom_site_fract_z
Li1 Li 0.000 0.000 0.000
Ta1 Ta 0.252 0.500 0.740
Tc1 Tc 0.500 0.000 0.500
```



Number 1: formation energy 580 meV/atom, DFT total energy -150.64 eV/cell. Number 2: formation energy 512 meV/atom, DFT total energy -222.81 eV/cell. Number 3: formation energy 944 meV/atom, DFT total energy -210.13 eV/cell. Number 4: formation energy 369 meV/atom, DFT total energy -401.33 eV/cell. Number 5: formation energy 326 meV/atom, DFT total energy -803.34 eV/cell. Number 6: formation energy 340 meV/atom, DFT total energy -200.78 eV/cell. Number 7: formation energy 276 meV/atom, DFT total energy -136.84 eV/cell. Number 8: formation energy 418 meV/atom, DFT total energy -136.27 eV/cell. Number 9: formation energy 386 meV/atom, DFT total energy -401.19 eV/cell. Number 10: formation energy 143 meV/atom, DFT total energy -138.52 eV/cell. Number 11: formation energy 1659 meV/atom, DFT total energy -100.52 eV/cell. Number 12: formation energy 124 meV/atom, DFT total energy -170.12 eV/cell.